The following is a DFT calculation (PBE) of a geometry-optimized SrLa2Y2 structure.

Cell and atoms, written as CIF:
```
data_SrLa2Y2
_chemical_formula_sum 'Sr2 La4 Y4'
_cell_length_a 9.927
_cell_length_b 9.927
_cell_length_c 3.867
_cell_angle_alpha 90.00
_cell_angle_beta 90.00
_cell_angle_gamma 90.00
_space_group_name_H-M_alt 'P 1'
_space_group_IT_number 1
_space_group_name_Hall 'P 1'
loop_
_atom_site_label
_atom_site_type_symbol
_atom_site_fract_x
_atom_site_fract_y
_atom_site_fract_z
_atom_site_occupancy
Y1 Y 0.831 0.331 0.500 1
La1 La 0.373 0.873 0.000 1
La2 La 0.873 0.627 0.000 1
La3 La 0.627 0.127 0.000 1
Y2 Y 0.669 0.831 0.500 1
Y3 Y 0.169 0.669 0.500 1
La4 La 0.127 0.373 0.000 1
Sr1 Sr 0.000 0.000 0.000 1
Sr2 Sr 0.500 0.500 0.000 1
Y4 Y 0.331 0.169 0.500 1
```

Properties
For the calculated total energy, the calculation gives -4.773 eV per atom.


The following is a DFT calculation (PBE) of a geometry-optimized Sr2La2Y structure.

Cell and atoms, written as CIF:
```
data_Sr2La2Y
_chemical_formula_sum 'Sr2 La2 Y1'
_cell_length_a 4.855
_cell_length_b 4.855
_cell_length_c 9.755
_cell_angle_alpha 75.59
_cell_angle_beta 75.59
_cell_angle_gamma 90.00
_space_group_name_H-M_alt 'P 1'
_space_group_IT_number 1
_space_group_name_Hall 'P 1'
loop_
_atom_site_label
_atom_site_type_symbol
_atom_site_fract_x
_atom_site_fract_y
_atom_site_fract_z
_atom_site_occupancy
Y1 Y 0.000 0.000 0.000 1
Sr1 Sr 0.750 0.250 0.500 1
Sr2 Sr 0.250 0.750 0.500 1
La1 La 0.583 0.583 0.833 1
La2 La 0.417 0.417 0.167 1
```

Properties
For the calculated total energy, the calculation gives -3.495 eV per atom.


The following is a DFT calculation (PBE) of a geometry-optimized SrLaY2 structure.

Cell and atoms, written as CIF:
```
data_SrLaY2
_chemical_formula_sum 'Sr1 La1 Y2'
_cell_length_a 5.961
_cell_length_b 5.961
_cell_length_c 5.961
_cell_angle_alpha 60.00
_cell_angle_beta 60.00
_cell_angle_gamma 60.00
_space_group_name_H-M_alt 'P 1'
_space_group_IT_number 1
_space_group_name_Hall 'P 1'
loop_
_atom_site_label
_atom_site_type_symbol
_atom_site_fract_x
_atom_site_fract_y
_atom_site_fract_z
_atom_site_occupancy
La1 La 0.500 0.500 0.500 1
Sr1 Sr 0.000 0.000 0.000 1
Y1 Y 0.750 0.750 0.750 1
Y2 Y 0.250 0.250 0.250 1
```

Properties
For the calculated total energy, the calculation gives -4.672 eV per atom.


The following is a DFT calculation (PBE) of a geometry-optimized SrLa2Y structure.

Cell and atoms, written as CIF:
```
data_SrLa2Y
_chemical_formula_sum 'Sr1 La2 Y1'
_cell_length_a 6.053
_cell_length_b 6.053
_cell_length_c 6.053
_cell_angle_alpha 60.00
_cell_angle_beta 60.00
_cell_angle_gamma 60.00
_space_group_name_H-M_alt 'P 1'
_space_group_IT_number 1
_space_group_name_Hall 'P 1'
loop_
_atom_site_label
_atom_site_type_symbol
_atom_site_fract_x
_atom_site_fract_y
_atom_site_fract_z
_atom_site_occupancy
La1 La 0.750 0.750 0.750 1
La2 La 0.250 0.250 0.250 1
Sr1 Sr 0.000 0.000 0.000 1
Y1 Y 0.500 0.500 0.500 1
```

Properties
For the calculated total energy, the calculation gives -4.316 eV per atom.


The following is a DFT calculation (PBE) of a geometry-optimized SrLaY4 structure.

Cell and atoms, written as CIF:
```
data_SrLaY4
_chemical_formula_sum 'Sr1 La1 Y4'
_cell_length_a 6.860
_cell_length_b 6.860
_cell_length_c 6.860
_cell_angle_alpha 60.00
_cell_angle_beta 60.00
_cell_angle_gamma 60.00
_space_group_name_H-M_alt 'P 1'
_space_group_IT_number 1
_space_group_name_Hall 'P 1'
loop_
_atom_site_label
_atom_site_type_symbol
_atom_site_fract_x
_atom_site_fract_y
_atom_site_fract_z
_atom_site_occupancy
La1 La 0.750 0.750 0.750 1
Y1 Y 0.377 0.377 0.869 1
Sr1 Sr 0.000 0.000 0.000 1
Y2 Y 0.377 0.869 0.377 1
Y3 Y 0.869 0.377 0.377 1
Y4 Y 0.377 0.377 0.377 1
```

Properties
For the calculated total energy, the calculation gives -5.146 eV per atom.


The following is a DFT calculation (PBE) of a geometry-optimized Sr4LaY structure.

Cell and atoms, written as CIF:
```
data_Sr4LaY
_chemical_formula_sum 'Sr4 La1 Y1'
_cell_length_a 7.387
_cell_length_b 7.387
_cell_length_c 7.387
_cell_angle_alpha 60.00
_cell_angle_beta 60.00
_cell_angle_gamma 60.00
_space_group_name_H-M_alt 'P 1'
_space_group_IT_number 1
_space_group_name_Hall 'P 1'
loop_
_atom_site_label
_atom_site_type_symbol
_atom_site_fract_x
_atom_site_fract_y
_atom_site_fract_z
_atom_site_occupancy
Y1 Y 0.750 0.750 0.750 1
Sr1 Sr 0.375 0.874 0.375 1
La1 La 0.000 0.000 0.000 1
Sr2 Sr 0.375 0.375 0.874 1
Sr3 Sr 0.375 0.375 0.375 1
Sr4 Sr 0.874 0.375 0.375 1
```

Properties
For the calculated total energy, the calculation gives -2.595 eV per atom.


The following is a DFT calculation (PBE) of a geometry-optimized SrLa2Y structure.

Cell and atoms, written as CIF:
```
data_SrLa2Y
_chemical_formula_sum 'Sr1 La2 Y1'
_cell_length_a 6.551
_cell_length_b 6.551
_cell_length_c 6.551
_cell_angle_alpha 131.44
_cell_angle_beta 131.44
_cell_angle_gamma 71.12
_space_group_name_H-M_alt 'P 1'
_space_group_IT_number 1
_space_group_name_Hall 'P 1'
loop_
_atom_site_label
_atom_site_type_symbol
_atom_site_fract_x
_atom_site_fract_y
_atom_site_fract_z
_atom_site_occupancy
Sr1 Sr 0.250 0.750 0.500 1
Y1 Y 0.750 0.250 0.500 1
La1 La 0.000 0.000 0.000 1
La2 La 0.500 0.500 0.000 1
```

Properties
For the calculated total energy, the calculation gives -4.342 eV per atom.


The following is a DFT calculation (PBE) of a geometry-optimized SrLa2Y structure.

Cell and atoms, written as CIF:
```
data_SrLa2Y
_chemical_formula_sum 'Sr1 La2 Y1'
_cell_length_a 6.560
_cell_length_b 6.560
_cell_length_c 6.560
_cell_angle_alpha 131.60
_cell_angle_beta 131.60
_cell_angle_gamma 70.86
_space_group_name_H-M_alt 'P 1'
_space_group_IT_number 1
_space_group_name_Hall 'P 1'
loop_
_atom_site_label
_atom_site_type_symbol
_atom_site_fract_x
_atom_site_fract_y
_atom_site_fract_z
_atom_site_occupancy
La1 La 0.250 0.750 0.500 1
La2 La 0.000 0.000 0.000 1
Sr1 Sr 0.500 0.500 0.000 1
Y1 Y 0.750 0.250 0.500 1
```

Properties
For the calculated total energy, the calculation gives -4.334 eV per atom.


The following is a DFT calculation (PBE) of a geometry-optimized SrLa2Y2 structure.

Cell and atoms, written as CIF:
```
data_SrLa2Y2
_chemical_formula_sum 'Sr2 La4 Y4'
_cell_length_a 10.122
_cell_length_b 10.122
_cell_length_c 3.724
_cell_angle_alpha 90.00
_cell_angle_beta 90.00
_cell_angle_gamma 90.00
_space_group_name_H-M_alt 'P 1'
_space_group_IT_number 1
_space_group_name_Hall 'P 1'
loop_
_atom_site_label
_atom_site_type_symbol
_atom_site_fract_x
_atom_site_fract_y
_atom_site_fract_z
_atom_site_occupancy
Sr1 Sr 0.000 0.000 0.000 1
Y1 Y 0.619 0.119 0.000 1
Y2 Y 0.119 0.381 0.000 1
Sr2 Sr 0.500 0.500 0.000 1
La1 La 0.824 0.324 0.500 1
Y3 Y 0.881 0.619 0.000 1
La2 La 0.676 0.824 0.500 1
La3 La 0.176 0.676 0.500 1
Y4 Y 0.381 0.881 0.000 1
La4 La 0.324 0.176 0.500 1
```

Properties
For the calculated total energy, the calculation gives -4.796 eV per atom.


The following is a DFT calculation (PBE) of a geometry-optimized Sr2La2Y structure.

Cell and atoms, written as CIF:
```
data_Sr2La2Y
_chemical_formula_sum 'Sr4 La4 Y2'
_cell_length_a 10.059
_cell_length_b 10.059
_cell_length_c 4.017
_cell_angle_alpha 90.00
_cell_angle_beta 90.00
_cell_angle_gamma 90.00
_space_group_name_H-M_alt 'P 1'
_space_group_IT_number 1
_space_group_name_Hall 'P 1'
loop_
_atom_site_label
_atom_site_type_symbol
_atom_site_fract_x
_atom_site_fract_y
_atom_site_fract_z
_atom_site_occupancy
La1 La 0.655 0.845 0.500 1
La2 La 0.155 0.655 0.500 1
La3 La 0.845 0.345 0.500 1
Y1 Y 0.000 0.000 0.000 1
Y2 Y 0.500 0.500 0.000 1
Sr1 Sr 0.353 0.853 0.000 1
Sr2 Sr 0.853 0.647 0.000 1
La4 La 0.345 0.155 0.500 1
Sr3 Sr 0.147 0.353 0.000 1
Sr4 Sr 0.647 0.147 0.000 1
```

Properties
For the calculated total energy, the calculation gives -3.572 eV per atom.


The following is a DFT calculation (PBE) of a geometry-optimized SrLaY2 structure.

Cell and atoms, written as CIF:
```
data_SrLaY2
_chemical_formula_sum 'Sr1 La1 Y2'
_cell_length_a 6.459
_cell_length_b 6.459
_cell_length_c 6.459
_cell_angle_alpha 131.27
_cell_angle_beta 131.27
_cell_angle_gamma 71.38
_space_group_name_H-M_alt 'P 1'
_space_group_IT_number 1
_space_group_name_Hall 'P 1'
loop_
_atom_site_label
_atom_site_type_symbol
_atom_site_fract_x
_atom_site_fract_y
_atom_site_fract_z
_atom_site_occupancy
Y1 Y 0.500 0.500 0.000 1
Y2 Y 0.000 0.000 0.000 1
Sr1 Sr 0.750 0.250 0.500 1
La1 La 0.250 0.750 0.500 1
```

Properties
For the calculated total energy, the calculation gives -4.695 eV per atom.


The following is a DFT calculation (PBE) of a geometry-optimized SrLaY2 structure.

Cell and atoms, written as CIF:
```
data_SrLaY2
_chemical_formula_sum 'Sr1 La1 Y2'
_cell_length_a 6.490
_cell_length_b 6.490
_cell_length_c 3.731
_cell_angle_alpha 90.00
_cell_angle_beta 90.00
_cell_angle_gamma 109.29
_space_group_name_H-M_alt 'P 1'
_space_group_IT_number 1
_space_group_name_Hall 'P 1'
loop_
_atom_site_label
_atom_site_type_symbol
_atom_site_fract_x
_atom_site_fract_y
_atom_site_fract_z
_atom_site_occupancy
Y1 Y 0.500 0.500 0.000 1
Y2 Y 0.000 0.000 0.000 1
La1 La 0.500 0.000 0.500 1
Sr1 Sr 0.000 0.500 0.500 1
```

Properties
For the calculated total energy, the calculation gives -4.725 eV per atom.